Material: AlInNi5
Method: DFT, GGA-PBE
State: optimized geometry

size of the total moment = 0.18 μB/cell
volume = 13.33 A^3/atom
symmetry = No. 123
electronic total energy = -5.11 eV per atom

a b c (Å): 3.8336 3.8336 6.3489
angles (deg): 90.00 90.00 90.00
Last column: nearest neighbours and their distance in Å.
Sites, in units of the cell vectors:
1 Al 0.0000 0.0000 0.0000  8 Ni 2.36
2 In 0.5000 0.5000 0.5000  12 Ni 2.62-2.71
3 Ni 0.0000 0.0000 0.5000  8 Ni 2.62, 4 In 2.71
4 Ni 0.0000 0.5000 0.2179  2 Al 2.36, 2 In 2.62, 2 Ni 2.62
5 Ni 0.0000 0.5000 0.7821  2 Al 2.36, 2 In 2.62, 2 Ni 2.62
6 Ni 0.5000 0.0000 0.2179  2 Al 2.36, 2 In 2.62, 2 Ni 2.62
7 Ni 0.5000 0.0000 0.7821  2 Al 2.36, 2 In 2.62, 2 Ni 2.62